No. 1
# Cs3PdF7 (PBE, optimized geometry)
# uncorrected formation energy	-214.7	kJ/mol of atoms
# calculated total energy	-4.12	eV per atom
# crystal system	tetragonal
data_Cs3PdF7
_chemical_formula_sum 'Cs6 Pd2 F14'
_space_group_name_H-M_alt 'P 4/m b m'
_space_group_IT_number 127
_space_group_name_Hall '-P 4 2ab'
_cell_length_a 8.628
_cell_length_b 8.628
_cell_length_c 6.370
_cell_angle_alpha 90.00
_cell_angle_beta 90.00
_cell_angle_gamma 90.00
loop_
_atom_site_label
_atom_site_fract_x
_atom_site_fract_y
_atom_site_fract_z
Cs1 0.000 0.000 0.000
Cs2 0.192 0.308 0.500
Pd1 0.000 0.500 0.000
F1 0.000 0.000 0.500
F2 0.111 0.611 0.220
F3 0.160 0.340 0.000

No. 2
# CsSrSbTe2 (PBE, optimized geometry)
# uncorrected formation energy	-29.6	kJ/mol of atoms
# calculated total energy	-2.90	eV per atom
# energy above the most stable polymorph in this dataset	0.000	eV per atom
# crystal system	tetragonal
data_CsSrSbTe2
_chemical_formula_sum 'Cs1 Sr1 Sb1 Te2'
_space_group_name_H-M_alt 'P 4/m m m'
_space_group_IT_number 123
_space_group_name_Hall '-P 4 2'
_cell_length_a 6.292
_cell_length_b 6.292
_cell_length_c 6.219
_cell_angle_alpha 90.00
_cell_angle_beta 90.00
_cell_angle_gamma 90.00
loop_
_atom_site_label
_atom_site_fract_x
_atom_site_fract_y
_atom_site_fract_z
Cs1 0.000 0.000 0.000
Sr1 0.500 0.500 0.500
Sb1 0.500 0.500 0.000
Te1 0.000 0.500 0.500

No. 3
# Nd2ScCuSe5 (PBE, optimized geometry)
# uncorrected formation energy	-150.5	kJ/mol of atoms
# calculated total energy	-5.71	eV per atom
# crystal system	orthorhombic
data_Nd2ScCuSe5
_chemical_formula_sum 'Nd8 Sc4 Cu4 Se20'
_space_group_name_H-M_alt 'C m c 21'
_space_group_IT_number 36
_cell_length_a 4.023
_cell_length_b 17.467
_cell_length_c 12.005
_cell_angle_alpha 90.00
_cell_angle_beta 90.00
_cell_angle_gamma 90.00
loop_
_space_group_symop_operation_xyz
'x,y,z'
'-x,-y,z+1/2'
'-x,y,z'
'x,-y,z+1/2'
'x+1/2,y+1/2,z'
'-x+1/2,-y+1/2,z+1/2'
'-x+1/2,y+1/2,z'
'x+1/2,-y+1/2,z+1/2'
loop_
_atom_site_label
_atom_site_fract_x
_atom_site_fract_y
_atom_site_fract_z
Nd1 0.000 0.111 0.000
Nd2 0.000 0.125 0.621
Sc1 0.000 0.192 0.324
Cu1 0.000 0.431 0.766
Se1 0.000 0.047 0.373
Se2 0.000 0.287 0.978
Se3 0.000 0.307 0.664
Se4 0.000 0.352 0.314
Se5 0.000 0.499 0.093

No. 4
# TmPaTc2 (PBE, optimized geometry)
# calculated total energy	-8.93	eV per atom
# formation enthalpy at 0 K	-0.2561	eV/atom
# energy above the most stable polymorph in this dataset	0.000	eV per atom
# crystal system	tetragonal
data_TmPaTc2
_chemical_formula_sum 'Tm1 Pa1 Tc2'
_space_group_name_H-M_alt 'P 4/m m m'
_space_group_IT_number 123
_space_group_name_Hall '-P 4 2'
_cell_length_a 3.414
_cell_length_b 3.414
_cell_length_c 6.856
_cell_angle_alpha 90.00
_cell_angle_beta 90.00
_cell_angle_gamma 90.00
loop_
_atom_site_label
_atom_site_fract_x
_atom_site_fract_y
_atom_site_fract_z
Tm1 0.000 0.000 0.000
Pa1 0.000 0.000 0.500
Tc1 0.500 0.500 0.276